Record 1
# HfScTcAu

A relaxed structure of HfScTcAu (PBE, the Alexandria database).

Unit cell a=4.6929 b=4.6929 c=4.6929 alpha=60.00 beta=60.00 gamma=60.00
Fractional coordinates of all 4 atoms:
Hf: 0.7500 0.7500 0.7500
Au: 0.0000 0.0000 0.0000
Sc: 0.2500 0.2500 0.2500
Tc: 0.5000 0.5000 0.5000

**Energy**: -7.96 eV/atom
**Energy of formation**: -11.1 kcal/mol of atoms

***

Record 2
# LaFeOs2

A relaxed structure of LaFeOs2 (PBE, the Alexandria database).

Unit cell a=5.7770 b=5.7770 c=4.6212 alpha=67.00 beta=67.00 gamma=28.28
Fractional coordinates of all 4 atoms:
Os: 0.0340 0.0340 0.9611
Os: 0.4660 0.4660 0.5389
La: 0.2500 0.2500 0.2500
Fe: 0.7500 0.7500 0.7500

**Energy**: -8.50 eV/atom
**ΔE to the lowest computed polymorph**: 0.394 eV/atom
**Energy of formation**: 10.8 kcal/mol of atoms

***

Record 3
# RbSbP

A relaxed structure of RbSbP (PBE, the Alexandria database).

Unit cell a=6.0540 b=6.4739 c=6.7963 alpha=110.37 beta=107.62 gamma=90.46
Fractional coordinates of all 6 atoms:
Sb: 0.0100 0.1596 0.2041
Rb: 0.3902 0.6792 0.2802
Rb: 0.6098 0.3208 0.7198
P: 0.5804 0.1333 0.1537
Sb: 0.9900 0.8404 0.7959
P: 0.4196 0.8667 0.8463

**Energy**: -3.76 eV/atom
**ΔE to the lowest computed polymorph**: 0.019 eV/atom

***

Record 4
# K2ReAg

A relaxed structure of K2ReAg (PBE, the Alexandria database).

Unit cell a=5.7058 b=5.7058 c=5.7058 alpha=60.00 beta=60.00 gamma=60.00
Fractional coordinates of all 4 atoms:
Ag: 0.0000 0.0000 0.0000
Re: 0.5000 0.5000 0.5000
K: 0.7500 0.7500 0.7500
K: 0.2500 0.2500 0.2500

**Energy**: -2.82 eV/atom
**ΔE to the lowest computed polymorph**: 0.569 eV/atom
**Energy of formation**: 35.8 kcal/mol of atoms

***

In μB per formula unit, the magnetic moment values for the records above are, in order, 0.00; 0.96; 0.00; 3.99.